Density functional theory data (PBE) for a geometry-optimized Pm2Er2Tm2Mg structure.

a b c (Å): 3.6234 6.2945 11.4996
angles (deg): 117.63 90.00 106.73
Closest atoms and distances in Å follow each position.
Sites, in units of the cell vectors:
Er  0.3191  0.6382  0.9130  4 Pm 3.45-3.84, 2 Tm 3.47, 5 Er 3.62-3.82
Er  0.6809  0.3618  0.0870  4 Pm 3.45-3.84, 2 Tm 3.47, 5 Er 3.62-3.82
Tm  0.7459  0.4919  0.6274  2 Mg 3.16, 2 Er 3.47, 2 Tm 3.49, 3 Pm 3.49
Tm  0.2541  0.5081  0.3726  2 Mg 3.16, 2 Er 3.47, 2 Tm 3.49, 3 Pm 3.49
Pm  0.4730  0.9460  0.2557  2 Mg 3.22, 3 Er 3.45-3.58, 3 Tm 3.49
Pm  0.5270  0.0540  0.7443  2 Mg 3.22, 3 Er 3.45-3.58, 3 Tm 3.49
Mg  0.0000  0.0000  0.5000  4 Tm 3.16, 4 Pm 3.22

Calculated values
ΔH_f (0 K): 0.09 eV/atom
raw total energy: -4.07 eV per atom
calculated density: 7.46 g/cm3
density of states at the Fermi level: 8.17 states/eV/f.u.

Density functional theory data (PBE) for a geometry-optimized Pm4YEr2Mg structure.

a b c (Å): 5.0562 5.0596 11.1372
angles (deg): 62.96 90.00 90.00
Closest atoms and distances in Å follow each position.
Sites, in units of the cell vectors:
Er  0.0000  0.0000  0.0000  8 Pm 3.51, 4 Mg 3.58
Er  0.5000  0.0000  0.5000  8 Pm 3.58, 4 Y 3.58
Pm  0.0000  0.2549  0.2450  2 Mg 3.51, 4 Er 3.51-3.58, 4 Pm 3.57-3.58, 2 Y 3.58
Pm  0.5000  0.7545  0.2449  2 Mg 3.51, 4 Er 3.51-3.58, 4 Pm 3.57-3.58, 2 Y 3.58
Pm  0.0000  0.7451  0.7550  2 Mg 3.51, 4 Er 3.51-3.58, 4 Pm 3.57-3.58, 2 Y 3.58
Pm  0.5000  0.2455  0.7551  2 Mg 3.51, 4 Er 3.51-3.58, 4 Pm 3.57-3.58, 2 Y 3.58
Y  0.0000  0.5000  0.5000  4 Er 3.58, 8 Pm 3.58
Mg  0.5000  0.5000  0.0000  8 Pm 3.51, 4 Er 3.58

Calculated values
ΔH_f (0 K): 0.01 eV/atom
raw total energy: -4.51 eV per atom
calculated density: 6.73 g/cm3
density of states at the Fermi level: 10.69 states/eV/f.u.

Density functional theory data (PBE) for a geometry-optimized PmY4Er2Mg structure.

a b c (Å): 4.9601 11.2549 4.9657
angles (deg): 63.79 90.00 90.00
Closest atoms and distances in Å follow each position.
Sites, in units of the cell vectors:
Mg  0.5000  0.5000  0.0000  4 Pm 3.51, 8 Y 3.55
Er  0.0000  0.0000  0.0000  4 Er 3.51, 8 Y 3.53
Er  0.5000  0.0000  0.5000  4 Er 3.51, 8 Y 3.53-3.54
Y  0.0000  0.2488  0.2510  4 Y 3.51, 4 Er 3.53, 2 Mg 3.55, 2 Pm 3.55
Y  0.5000  0.2492  0.7508  4 Y 3.51, 4 Er 3.53-3.54, 2 Pm 3.54, 2 Mg 3.55
Y  0.0000  0.7512  0.7490  4 Y 3.51, 4 Er 3.53, 2 Mg 3.55, 2 Pm 3.55
Y  0.5000  0.7508  0.2492  4 Y 3.51, 4 Er 3.53-3.54, 2 Pm 3.54, 2 Mg 3.55
Pm  0.0000  0.5000  0.5000  4 Mg 3.51, 8 Y 3.54-3.55

Calculated values
ΔH_f (0 K): 0.02 eV/atom
raw total energy: -5.14 eV per atom
calculated density: 5.74 g/cm3
density of states at the Fermi level: 12.62 states/eV/f.u.

Density functional theory data (PBE) for a geometry-optimized Pm2YEr2Mg5 structure.

a b c (Å): 5.0648 10.6045 10.6045
angles (deg): 90.00 90.00 90.00
Closest atoms and distances in Å follow each position.
Sites, in units of the cell vectors:
Pm  0.0000  0.3228  0.8228  3 Er 3.05-3.20
Pm  0.0000  0.1772  0.3228  3 Er 3.05-3.20
Pm  0.0000  0.6772  0.1772  3 Er 3.05-3.20
Pm  0.0000  0.8228  0.6772  3 Er 3.05-3.20
Er  0.0000  0.3807  0.1193  3 Pm 3.05-3.20, 6 Mg 3.10-3.23
Er  0.0000  0.1193  0.6193  3 Pm 3.05-3.20, 6 Mg 3.10-3.23
Er  0.0000  0.8807  0.3807  3 Pm 3.05-3.20, 6 Mg 3.10-3.23
Er  0.0000  0.6193  0.8807  3 Pm 3.05-3.20, 6 Mg 3.10-3.23
Mg  0.5000  0.9305  0.1986  4 Mg 3.16-3.48, 2 Er 3.23, 2 Y 3.38
Mg  0.5000  0.4305  0.3014  4 Mg 3.16-3.48, 2 Er 3.23, 2 Y 3.38
Mg  0.5000  0.1986  0.0695  4 Mg 3.16-3.48, 2 Er 3.23, 2 Y 3.38
Mg  0.5000  0.5695  0.6986  4 Mg 3.16-3.48, 2 Er 3.23, 2 Y 3.38
Mg  0.5000  0.5000  0.0000  4 Er 3.10, 4 Mg 3.28
Mg  0.5000  0.0695  0.8014  4 Mg 3.16-3.48, 2 Er 3.23, 2 Y 3.38
Mg  0.5000  0.0000  0.5000  4 Er 3.10, 4 Mg 3.28
Mg  0.5000  0.3014  0.5695  4 Mg 3.16-3.48, 2 Er 3.23, 2 Y 3.38
Mg  0.5000  0.6986  0.4305  4 Mg 3.16-3.48, 2 Er 3.23, 2 Y 3.38
Mg  0.5000  0.8014  0.9305  4 Mg 3.16-3.48, 2 Er 3.23, 2 Y 3.38
Y  0.0000  0.5000  0.5000  8 Mg 3.38
Y  0.0000  0.0000  0.0000  8 Mg 3.38

Calculated values
ΔH_f (0 K): 0.03 eV/atom
raw total energy: -3.28 eV per atom
calculated density: 4.87 g/cm3
density of states at the Fermi level: 6.80 states/eV/f.u.

Density functional theory data (PBE) for a geometry-optimized Pm2YEr4Mg structure.

a b c (Å): 4.9538 4.9649 11.2332
angles (deg): 63.73 90.00 90.00
Closest atoms and distances in Å follow each position.
Sites, in units of the cell vectors:
Er  0.5000  0.2488  0.7513  4 Er 3.51, 4 Pm 3.52-3.55, 2 Mg 3.53, 2 Y 3.54
Er  0.0000  0.2517  0.2485  4 Er 3.51, 2 Mg 3.52, 4 Pm 3.52-3.54, 2 Y 3.55
Er  0.5000  0.7512  0.2487  4 Er 3.51, 4 Pm 3.52-3.55, 2 Mg 3.53, 2 Y 3.54
Er  0.0000  0.7484  0.7515  4 Er 3.51, 2 Mg 3.52, 4 Pm 3.52-3.54, 2 Y 3.55
Mg  0.5000  0.5000  0.0000  4 Pm 3.51, 8 Er 3.52-3.53
Pm  0.5000  0.0000  0.5000  4 Y 3.51, 8 Er 3.54-3.55
Pm  0.0000  0.0000  0.0000  4 Mg 3.51, 8 Er 3.52-3.53
Y  0.0000  0.5000  0.5000  4 Pm 3.51, 8 Er 3.54-3.55

Calculated values
ΔH_f (0 K): 0.03 eV/atom
raw total energy: -4.44 eV per atom
calculated density: 7.19 g/cm3
density of states at the Fermi level: 12.49 states/eV/f.u.

Density functional theory data (PBE) for a geometry-optimized Pm6YEr2Mg structure.

a b c (Å): 9.2769 8.9440 8.9440
angles (deg): 117.80 92.42 92.42
Closest atoms and distances in Å follow each position.
Sites, in units of the cell vectors:
Er  0.4501  0.7937  0.6839  5 Pm 3.19-3.43, 2 Y 3.39-3.56, 1 Mg 3.46
Er  0.9501  0.6839  0.7937  5 Pm 3.19-3.43, 2 Y 3.39-3.56, 1 Mg 3.46
Er  0.0499  0.3161  0.2063  5 Pm 3.19-3.43, 2 Y 3.39-3.56, 1 Mg 3.46
Er  0.5499  0.2063  0.3161  5 Pm 3.19-3.43, 2 Y 3.39-3.56, 1 Mg 3.46
Pm  0.3947  0.5018  0.2821  3 Er 3.19-3.43, 3 Pm 3.34-3.47, 2 Mg 3.39
Pm  0.1053  0.7179  0.4982  3 Er 3.19-3.43, 3 Pm 3.34-3.47, 2 Mg 3.39
Pm  0.7004  0.9964  0.5652  5 Pm 3.34-3.68, 1 Mg 3.38, 1 Er 3.38, 1 Y 3.56
Pm  0.5518  0.7781  0.1338  1 Er 3.39, 7 Pm 3.45-3.70, 2 Y 3.61-3.70
Pm  0.4482  0.2219  0.8662  1 Er 3.39, 7 Pm 3.45-3.70, 2 Y 3.61-3.70
Pm  0.2004  0.5652  0.9964  5 Pm 3.34-3.68, 1 Mg 3.38, 1 Er 3.38, 1 Y 3.56
Pm  0.7996  0.4348  0.0036  5 Pm 3.34-3.68, 1 Mg 3.38, 1 Er 3.38, 1 Y 3.56
Pm  0.9482  0.8662  0.2219  1 Er 3.39, 7 Pm 3.45-3.70, 2 Y 3.61-3.70
Pm  0.0518  0.1338  0.7781  1 Er 3.39, 7 Pm 3.45-3.70, 2 Y 3.61-3.70
Pm  0.8947  0.2821  0.5018  3 Er 3.19-3.43, 3 Pm 3.34-3.47, 2 Mg 3.39
Pm  0.2997  0.0036  0.4348  5 Pm 3.34-3.68, 1 Mg 3.38, 1 Er 3.38, 1 Y 3.56
Pm  0.6053  0.4982  0.7179  3 Er 3.19-3.43, 3 Pm 3.34-3.47, 2 Mg 3.39
Mg  0.7500  0.5805  0.4195  6 Pm 3.38-3.39, 4 Er 3.46-3.71
Mg  0.2500  0.4195  0.5805  6 Pm 3.38-3.39, 4 Er 3.46-3.71
Y  0.2500  0.9752  0.0248  4 Er 3.39-3.56, 6 Pm 3.56-3.70
Y  0.7500  0.0248  0.9752  4 Er 3.39-3.56, 6 Pm 3.56-3.70

Calculated values
ΔH_f (0 K): 0.12 eV/atom
raw total energy: -4.45 eV per atom
calculated density: 6.69 g/cm3
density of states at the Fermi level: 13.36 states/eV/f.u.

Density functional theory data (PBE) for a geometry-optimized Pm3Y6Er2Mg structure.

a b c (Å): 6.1868 6.1868 11.7395
angles (deg): 95.08 95.08 120.04
Closest atoms and distances in Å follow each position.
Sites, in units of the cell vectors:
Y  0.7483  0.7483  0.2453  2 Er 3.50, 1 Mg 3.51, 6 Y 3.56-3.58, 3 Pm 3.59-3.60
Y  0.5873  0.9194  0.7555  1 Mg 3.49, 2 Er 3.50-3.51, 6 Y 3.56-3.58, 3 Pm 3.60-3.61
Y  0.2517  0.2517  0.7547  2 Er 3.50, 1 Mg 3.51, 6 Y 3.56-3.58, 3 Pm 3.59-3.60
Y  0.9194  0.5873  0.7555  1 Mg 3.49, 2 Er 3.50-3.51, 6 Y 3.56-3.58, 3 Pm 3.60-3.61
Y  0.0806  0.4127  0.2445  1 Mg 3.49, 2 Er 3.50-3.51, 6 Y 3.56-3.58, 3 Pm 3.60-3.61
Y  0.4127  0.0806  0.2445  1 Mg 3.49, 2 Er 3.50-3.51, 6 Y 3.56-3.58, 3 Pm 3.60-3.61
Pm  0.5000  0.5000  0.5000  6 Pm 3.57-3.58, 6 Y 3.60
Pm  0.8344  0.1656  0.5000  6 Pm 3.55-3.58, 6 Y 3.59-3.61
Pm  0.1656  0.8344  0.5000  6 Pm 3.55-3.58, 6 Y 3.59-3.61
Er  0.3336  0.6664  0.0000  6 Y 3.50-3.51, 3 Er 3.57, 3 Mg 3.57-3.58
Er  0.6664  0.3336  0.0000  6 Y 3.50-3.51, 3 Er 3.57, 3 Mg 3.57-3.58
Mg  0.0000  0.0000  0.0000  6 Y 3.49-3.51, 6 Er 3.57-3.58

Calculated values
ΔH_f (0 K): 0.03 eV/atom
raw total energy: -5.28 eV per atom
calculated density: 5.76 g/cm3
density of states at the Fermi level: 18.39 states/eV/f.u.

Density functional theory data (PBE) for a geometry-optimized PmY2Er2Mg5 structure.

a b c (Å): 5.0900 10.6247 10.6247
angles (deg): 90.00 90.00 90.00
Closest atoms and distances in Å follow each position.
Sites, in units of the cell vectors:
Mg  0.5000  0.5750  0.6980  4 Mg 3.18-3.41, 2 Er 3.24, 2 Pm 3.40
Mg  0.5000  0.9250  0.1980  4 Mg 3.18-3.41, 2 Er 3.24, 2 Pm 3.40
Mg  0.5000  0.3020  0.5750  4 Mg 3.18-3.41, 2 Er 3.24, 2 Pm 3.40
Mg  0.5000  0.5000  0.0000  4 Er 3.10, 4 Mg 3.31
Mg  0.5000  0.1980  0.0750  4 Mg 3.18-3.41, 2 Er 3.24, 2 Pm 3.40
Mg  0.5000  0.6980  0.4250  4 Mg 3.18-3.41, 2 Er 3.24, 2 Pm 3.40
Mg  0.5000  0.8020  0.9250  4 Mg 3.18-3.41, 2 Er 3.24, 2 Pm 3.40
Mg  0.5000  0.0000  0.5000  4 Er 3.10, 4 Mg 3.31
Mg  0.5000  0.4250  0.3020  4 Mg 3.18-3.41, 2 Er 3.24, 2 Pm 3.40
Mg  0.5000  0.0750  0.8020  4 Mg 3.18-3.41, 2 Er 3.24, 2 Pm 3.40
Er  0.0000  0.6178  0.8822  3 Y 3.06-3.21, 6 Mg 3.10-3.24
Er  0.0000  0.1178  0.6178  3 Y 3.06-3.21, 6 Mg 3.10-3.24
Er  0.0000  0.3822  0.1178  3 Y 3.06-3.21, 6 Mg 3.10-3.24
Er  0.0000  0.8822  0.3822  3 Y 3.06-3.21, 6 Mg 3.10-3.24
Y  0.0000  0.6783  0.1783  3 Er 3.06-3.21
Y  0.0000  0.8217  0.6783  3 Er 3.06-3.21
Y  0.0000  0.1783  0.3217  3 Er 3.06-3.21
Y  0.0000  0.3217  0.8217  3 Er 3.06-3.21
Pm  0.0000  0.0000  0.0000  8 Mg 3.40
Pm  0.0000  0.5000  0.5000  8 Mg 3.40

Calculated values
ΔH_f (0 K): 0.07 eV/atom
raw total energy: -3.40 eV per atom
calculated density: 4.50 g/cm3
density of states at the Fermi level: 9.70 states/eV/f.u.